Entry 1:
Computed, not measured: a relaxed structure of LiLaNi2 at the PBE level of DFT.

a = 4.2166 Å, b = 4.2166 Å, c = 5.3164 Å
α = 66.81°, β = 66.81°, γ = 59.96°
Sites, in units of the cell vectors:
Li: 0.2500 0.2500 0.2500
La: 0.7500 0.7500 0.7500
Ni: 0.5549 0.5549 0.3348
Ni: 0.9451 0.9451 0.1652

Output
The space group is No. 12. The value obtained for the energy relative to the elements is -0.15 eV per atom. Its total magnetization is 0.000 μB per atom. The value obtained for the energy relative to the lowest polymorph listed for this composition is 0 meV per atom.

---

Entry 2:
Computed, not measured: a relaxed structure of K2LaOsS at the PBE level of DFT.

a = 7.5963 Å, b = 5.2343 Å, c = 7.5963 Å
α = 90.00°, β = 90.00°, γ = 90.00°
Site moments in Bohr magnetons follow the coordinates.
Sites, in units of the cell vectors:
K: 0.0000 0.0000 0.5000  0.00
K: 0.5000 0.0000 0.0000  -0.01
La: 0.0000 0.0000 0.0000  -0.01
Os: 0.5000 0.5000 0.5000  2.78
S: 0.0000 0.5000 0.0000  0.00

Output
The space group is No. 123. The uncorrected formation energy comes out at 115.0 kJ per mole of atoms. Its total magnetization is 0.616 μB per atom.

---

Entry 3:
Computed, not measured: a relaxed structure of Pm2ScGa at the PBE level of DFT.

a = 4.6815 Å, b = 4.7040 Å, c = 4.7040 Å
α = 90.00°, β = 90.00°, γ = 90.00°
Sites, in units of the cell vectors:
Pm: 0.0000 0.0000 0.5000
Ga: 0.5000 0.0000 0.0000
Sc: 0.5000 0.5000 0.5000
Pm: 0.0000 0.5000 0.0000

Output
The space group is No. 123. The value obtained for the energy relative to the elements is -0.24 eV per atom. Its total magnetization is 0.000 μB per atom. The value obtained for the energy relative to the lowest polymorph listed for this composition is 0 meV per atom.